# RbTiPd2

A geometry-optimized RbTiPd2 structure (PBE, the Alexandria database). Values from VASP.

Structure (Quantum ESPRESSO input):
```
&SYSTEM
  ibrav = 0, nat = 8, ntyp = 3
/
ATOMIC_SPECIES
Pd 106.42 Pd.upf
Rb 85.47 Rb.upf
Ti 47.87 Ti.upf
CELL_PARAMETERS angstrom
7.637 0.000 0.000
0.000 7.637 0.000
3.818 3.818 3.541
ATOMIC_POSITIONS crystal
Pd 0.375 0.456 0.750
Pd 0.544 0.125 0.250
Pd 0.875 0.794 0.750
Rb 0.000 0.000 0.000
Pd 0.206 0.625 0.250
Ti 0.250 0.750 0.500
Rb 0.750 0.250 0.500
Ti 0.500 0.500 0.000
```

Values from the calculation:
Volume: 103.27 Å³/f.u.
Final energy: -4.46 eV per atom
SG: I-42d, No. 122
E above lowest polymorph: 0.000 eV/atom
ΔE_f: 0.348 eV/atom